Record 1
LaCu2Sb | PBE-GGA | optimized geometry

Calculated values
* final energy: -56.594 eV for the cell shown
* ΔE_f (raw): -0.406 eV/atom
* crystal system: trigonal

abc: 4.3363 4.3363 16.2580
angles: 90.00 90.00 120.00
Closest atoms and distances in Å follow each position.
Space group R3m (No. 160, hexagonal axes)
Unique sites:
La1 0.0000 0.0000 0.0000  7 Cu 3.17-3.48, 4 Sb 3.27-3.32
Cu1 0.0000 0.0000 0.4792  3 Cu 2.54, 3 Sb 2.68
Cu2 0.0000 0.0000 0.7863  3 Cu 2.54
Sb1 0.0000 0.0000 0.2042  6 Cu 2.68-2.86


Record 2
La2CuSb | PBE-GGA | optimized geometry

Calculated values
* final energy: -73.259 eV for the cell shown
* ΔE_f (raw): -0.060 eV/atom
* crystal system: cubic

abc: 7.4872 7.4872 7.4872
angles: 90.00 90.00 90.00
Closest atoms and distances in Å follow each position.
Space group F-43m (No. 216)
Unique sites:
La1 0.0000 0.0000 0.0000  4 La 3.24, 4 Cu 3.24
La2 0.2500 0.2500 0.2500  4 La 3.24, 4 Sb 3.24
Cu1 0.2500 0.2500 0.7500  4 La 3.24, 4 Sb 3.24
Sb1 0.0000 0.0000 0.5000  4 La 3.24, 4 Cu 3.24


Record 3
LaCu2Sb | PBE-GGA | optimized geometry

Calculated values
* final energy: -18.654 eV for the cell shown
* ΔE_f (raw): -0.353 eV/atom
* crystal system: monoclinic

abc: 4.5617 4.4338 4.5635
angles: 90.00 110.38 90.00
Closest atoms and distances in Å follow each position.
Space group Pm (No. 6)
Unique sites:
La1 0.0000 0.0000 0.0000  2 Cu 2.67
Cu1 0.5774 0.0000 0.4227  2 Cu 2.42, 2 La 2.67
Cu2 0.7064 0.5000 0.2894  2 Cu 2.42, 1 Sb 2.71
Sb1 0.3461 0.5000 0.6518  5 Cu 2.71-2.81


Record 4
La6CuSb15 | PBE-GGA | optimized geometry

Calculated values
* final energy: -223.221 eV for the cell shown
* ΔE_f (raw): -0.732 eV/atom
* crystal system: monoclinic

abc: 16.1134 19.7500 4.3291
angles: 90.00 105.38 90.00
Closest atoms and distances in Å follow each position.
Space group Cm (No. 8)
Unique sites:
La1 0.0000 0.1322 0.0000  1 Cu 3.27, 9 Sb 3.32-3.50
La2 0.1358 0.3251 0.1346  8 Sb 3.28-3.46
La3 0.2748 0.1350 0.2742  9 Sb 3.30-3.44
Cu1 0.3730 0.5000 0.8821  4 Sb 2.63-2.73
Sb1 0.0443 0.5000 0.0396  5 Sb 3.03-3.11
Sb2 0.1369 0.2003 0.6361  6 La 3.28-3.32
Sb3 0.1432 0.0000 0.1463  4 Sb 3.02-3.35, 2 La 3.36
Sb4 0.2390 0.5000 0.2396  2 Cu 2.97-3.04, 5 Sb 3.03-3.17
Sb5 0.2799 0.0000 0.7787  2 Sb 3.02-3.04
Sb6 0.2808 0.3882 0.7787  1 Cu 2.63
Sb7 0.3541 0.2966 0.3534  4 Sb 3.03-3.07
Sb8 0.4237 0.2012 0.9207  4 Sb 3.06-3.08, 3 La 3.34-3.43
Sb9 0.4788 0.5000 0.4822  2 Cu 2.70-2.73
Sb10 0.4887 0.1033 0.4875  4 Sb 3.07-3.11, 1 La 3.38


Record 5
LaCu2Sb | PBE-GGA | optimized geometry

Calculated values
* final energy: -18.612 eV for the cell shown
* ΔE_f (raw): -0.342 eV/atom
* crystal system: orthorhombic

abc: 4.1857 4.4846 5.1198
angles: 90.00 90.00 90.00
Closest atoms and distances in Å follow each position.
Space group Pmmm (No. 47)
Unique sites:
La1 0.0000 0.0000 0.0000  8 Cu 3.30, 4 Sb 3.31
Cu1 0.5000 0.5000 0.2362  2 Cu 2.42-2.70, 2 Sb 2.62
Sb1 0.5000 0.0000 0.5000  4 Cu 2.62


Record 6
LaCu2Sb2 | PBE-GGA | optimized geometry

Calculated values
* final energy: -96.337 eV for the cell shown
* ΔE_f (raw): -0.544 eV/atom
* crystal system: orthorhombic

abc: 4.4045 23.3197 4.3918
angles: 90.00 90.00 90.00
Closest atoms and distances in Å follow each position.
Space group Cmcm (No. 63)
Unique sites:
La1 0.0000 0.1385 0.2500  8 Sb 3.28-3.41, 4 Cu 3.39-3.40
Cu1 0.0000 0.0272 0.7500  4 Cu 2.54-2.55, 2 Sb 2.69
Cu2 0.0000 0.4723 0.7500  4 Cu 2.55, 3 Sb 2.68-2.83
Sb1 0.0000 0.2498 0.7500  4 Sb 3.11, 4 La 3.40-3.41
Sb2 0.0000 0.4064 0.2500  5 Cu 2.68-2.83


Record 7
LaCu3Sb | PBE-GGA | optimized geometry

Calculated values
* final energy: -15.836 eV for the cell shown
* ΔE_f (raw): 1.101 eV/atom
* crystal system: cubic

abc: 5.1245 5.1245 5.1245
angles: 90.00 90.00 90.00
Closest atoms and distances in Å follow each position.
Space group Pm-3m (No. 221)
Unique sites:
La1 0.0000 0.0000 0.0000  6 Cu 2.56
Cu1 0.0000 0.0000 0.5000  2 La 2.56
Sb1 0.5000 0.5000 0.5000  12 Cu 3.62


Record 8
LaCu2Sb | PBE-GGA | optimized geometry

Calculated values
* final energy: -36.513 eV for the cell shown
* ΔE_f (raw): -0.254 eV/atom
* crystal system: orthorhombic

abc: 4.0083 4.1149 10.9544
angles: 90.00 90.00 90.00
Closest atoms and distances in Å follow each position.
Space group Imm2 (No. 44)
Unique sites:
La1 0.0000 0.0000 0.0000  6 Cu 3.10-3.33, 2 Sb 3.32
Cu1 0.0000 0.0000 0.6062  2 Cu 2.48, 2 Sb 2.67
Cu2 0.0000 0.5000 0.2393  2 Cu 2.48
Sb1 0.0000 0.5000 0.7621  6 Cu 2.67-2.88


Copy entry 4 word for word.
La6CuSb15 | PBE-GGA | optimized geometry

Calculated values
* final energy: -223.221 eV for the cell shown
* ΔE_f (raw): -0.732 eV/atom
* crystal system: monoclinic

abc: 16.1134 19.7500 4.3291
angles: 90.00 105.38 90.00
Closest atoms and distances in Å follow each position.
Space group Cm (No. 8)
Unique sites:
La1 0.0000 0.1322 0.0000  1 Cu 3.27, 9 Sb 3.32-3.50
La2 0.1358 0.3251 0.1346  8 Sb 3.28-3.46
La3 0.2748 0.1350 0.2742  9 Sb 3.30-3.44
Cu1 0.3730 0.5000 0.8821  4 Sb 2.63-2.73
Sb1 0.0443 0.5000 0.0396  5 Sb 3.03-3.11
Sb2 0.1369 0.2003 0.6361  6 La 3.28-3.32
Sb3 0.1432 0.0000 0.1463  4 Sb 3.02-3.35, 2 La 3.36
Sb4 0.2390 0.5000 0.2396  2 Cu 2.97-3.04, 5 Sb 3.03-3.17
Sb5 0.2799 0.0000 0.7787  2 Sb 3.02-3.04
Sb6 0.2808 0.3882 0.7787  1 Cu 2.63
Sb7 0.3541 0.2966 0.3534  4 Sb 3.03-3.07
Sb8 0.4237 0.2012 0.9207  4 Sb 3.06-3.08, 3 La 3.34-3.43
Sb9 0.4788 0.5000 0.4822  2 Cu 2.70-2.73
Sb10 0.4887 0.1033 0.4875  4 Sb 3.07-3.11, 1 La 3.38


- Look up the final energy of the first one.
  -56.594 eV for the cell shown


- Which of these has the highest final energy?
  LaCu3Sb


What did the third record say?
LaCu2Sb | PBE-GGA | optimized geometry

Calculated values
* final energy: -18.654 eV for the cell shown
* ΔE_f (raw): -0.353 eV/atom
* crystal system: monoclinic

abc: 4.5617 4.4338 4.5635
angles: 90.00 110.38 90.00
Closest atoms and distances in Å follow each position.
Space group Pm (No. 6)
Unique sites:
La1 0.0000 0.0000 0.0000  2 Cu 2.67
Cu1 0.5774 0.0000 0.4227  2 Cu 2.42, 2 La 2.67
Cu2 0.7064 0.5000 0.2894  2 Cu 2.42, 1 Sb 2.71
Sb1 0.3461 0.5000 0.6518  5 Cu 2.71-2.81